Entry 1:
VASP calculation (GGA-PBE) on a relaxed ScCo2Se crystal.

Cell: 7.555 7.555 7.555 Å, 23.92 23.92 23.92°
Atoms (fractional coordinates):
Sc (0.000, 0.000, 0.000)
Co (0.241, 0.241, 0.241)
Co (0.759, 0.759, 0.759)
Se (0.500, 0.500, 0.500)

Formation energy (no corrections) ... 3.2 kcal/mol of atoms
M_tot ... 1.24 μB per formula unit
Crystal system ... trigonal
VASP energy ... -5.8682 eV/atom
Calculated volume ... 62.3 Å³/f.u.

***

Entry 2:
VASP calculation (GGA-PBE) on a relaxed NaMgSnBi crystal.

Cell: 5.319 5.319 5.319 Å, 60.00 60.00 60.00°
Atoms (fractional coordinates):
Na (0.000, 0.000, 0.000)
Mg (0.500, 0.500, 0.500)
Sn (0.750, 0.750, 0.750)
Bi (0.250, 0.250, 0.250)

ΔE to the lowest computed polymorph ... 16 meV/atom
M_tot ... 0.00 μB per formula unit
Crystal system ... cubic
ΔE_f ... -0.16 eV/atom
VASP energy ... -2.8576 eV/atom
Calculated volume ... 106.4 Å³/f.u.

***

Entry 3:
VASP calculation (GGA-PBE) on a relaxed NdTmC crystal.

Cell: 6.570 6.570 6.332 Å, 90.00 90.00 143.79°
Atoms (fractional coordinates):
Nd (0.237, 0.763, 0.750)
Nd (0.763, 0.237, 0.250)
Tm (0.500, 0.500, 0.000)
Tm (0.500, 0.500, 0.500)
C (0.363, 0.637, 0.250)
C (0.637, 0.363, 0.750)

ΔE to the lowest computed polymorph ... 436 meV/atom
M_tot ... 0.00 μB per formula unit
Crystal system ... orthorhombic
ΔE_f ... 0.24 eV/atom
VASP energy ... -5.9162 eV/atom
Calculated volume ... 80.7 Å³/f.u.

***

Entry 4:
VASP calculation (GGA-PBE) on a relaxed NbPt3Br crystal.

Cell: 4.946 4.946 4.946 Å, 90.00 90.00 90.00°
Atoms (fractional coordinates):
Nb (0.000, 0.000, 0.000)
Pt (0.000, 0.000, 0.500)
Pt (0.000, 0.500, 0.000)
Pt (0.500, 0.000, 0.000)
Br (0.500, 0.500, 0.500)

Formation energy (no corrections) ... 24.8 kcal/mol of atoms
ΔE to the lowest computed polymorph ... 0 meV/atom
M_tot ... 0.00 μB per formula unit
Crystal system ... cubic
VASP energy ... -4.8973 eV/atom
Calculated volume ... 121.0 Å³/f.u.

***

Entry 5:
VASP calculation (GGA-PBE) on a relaxed TcAgP2O crystal.

Cell: 4.777 4.777 3.913 Å, 90.00 90.00 90.00°
Atoms (fractional coordinates):
Tc (0.000, 0.000, 0.000)
Ag (0.500, 0.500, 0.500)
P (0.000, 0.500, 0.500)
P (0.500, 0.000, 0.500)
O (0.500, 0.500, 0.000)

Formation energy (no corrections) ... 28.1 kcal/mol of atoms
ΔE to the lowest computed polymorph ... 1214 meV/atom
M_tot ... 2.73 μB per formula unit
Crystal system ... tetragonal
VASP energy ... -4.5791 eV/atom
Calculated volume ... 89.3 Å³/f.u.

***

Entry 6:
VASP calculation (GGA-PBE) on a relaxed CsMgHgTe2 crystal.

Cell: 8.476 8.476 8.039 Å, 90.00 90.00 133.99°
Atoms (fractional coordinates):
Cs (0.250, 0.750, 0.760)
Cs (0.750, 0.250, 0.240)
Mg (0.250, 0.250, 0.000)
Mg (0.750, 0.750, 0.000)
Hg (0.000, 0.000, 0.500)
Hg (0.500, 0.500, 0.500)
Te (0.110, 0.890, 0.190)
Te (0.390, 0.610, 0.190)
Te (0.610, 0.390, 0.810)
Te (0.890, 0.110, 0.810)

Formation energy (no corrections) ... -14.9 kcal/mol of atoms
M_tot ... 0.00 μB per formula unit
Crystal system ... orthorhombic
VASP energy ... -2.4508 eV/atom
Calculated volume ... 207.8 Å³/f.u.

***

Entry 7:
VASP calculation (GGA-PBE) on a relaxed Lu2PuBe crystal.

Cell: 10.735 10.735 10.735 Å, 17.91 17.91 17.91°
Atoms (fractional coordinates):
Lu (0.105, 0.105, 0.105)
Lu (0.895, 0.895, 0.895)
Pu (0.000, 0.000, 0.000)
Be (0.500, 0.500, 0.500)

ΔE to the lowest computed polymorph ... 309 meV/atom
M_tot ... 6.30 μB per formula unit
Crystal system ... trigonal
ΔE_f ... 0.42 eV/atom
VASP energy ... -6.3533 eV/atom
Calculated volume ... 102.1 Å³/f.u.

***

Entry 8:
VASP calculation (GGA-PBE) on a relaxed HfTi2Re2 crystal.

Cell: 7.442 7.442 3.105 Å, 90.00 90.00 90.00°
Atoms (fractional coordinates):
Hf (0.000, 0.000, 0.000)
Hf (0.500, 0.500, 0.000)
Ti (0.146, 0.354, 0.500)
Ti (0.354, 0.854, 0.500)
Ti (0.646, 0.146, 0.500)
Ti (0.854, 0.646, 0.500)
Re (0.149, 0.649, 0.000)
Re (0.351, 0.149, 0.000)
Re (0.649, 0.851, 0.000)
Re (0.851, 0.351, 0.000)

ΔE to the lowest computed polymorph ... 122 meV/atom
M_tot ... 0.00 μB per formula unit
Crystal system ... tetragonal
ΔE_f ... -0.03 eV/atom
VASP energy ... -10.1534 eV/atom
Calculated volume ... 86.0 Å³/f.u.

***

Entry 9:
VASP calculation (GGA-PBE) on a relaxed Rb2CdCuBr6 crystal.

Cell: 7.851 7.851 7.851 Å, 121.99 121.99 86.58°
Atoms (fractional coordinates):
Rb (0.250, 0.750, 0.500)
Rb (0.750, 0.250, 0.500)
Cd (0.000, 0.000, 0.000)
Cu (0.500, 0.500, 0.000)
Br (0.228, 0.228, 0.000)
Br (0.271, 0.271, 0.543)
Br (0.271, 0.729, 0.000)
Br (0.729, 0.271, 0.000)
Br (0.729, 0.729, 0.457)
Br (0.772, 0.772, 0.000)

Formation energy (no corrections) ... -23.3 kcal/mol of atoms
ΔE to the lowest computed polymorph ... 3 meV/atom
M_tot ... 1.00 μB per formula unit
Crystal system ... tetragonal
VASP energy ... -2.7087 eV/atom
Calculated volume ... 331.2 Å³/f.u.

***

Entry 10:
VASP calculation (GGA-PBE) on a relaxed SmAgSbPd crystal.

Cell: 4.963 4.963 4.963 Å, 60.00 60.00 60.00°
Atoms (fractional coordinates):
Sm (0.000, 0.000, 0.000)
Ag (0.750, 0.750, 0.750)
Sb (0.500, 0.500, 0.500)
Pd (0.250, 0.250, 0.250)

Formation energy (no corrections) ... -13.2 kcal/mol of atoms
M_tot ... 0.00 μB per formula unit
Crystal system ... cubic
VASP energy ... -4.7947 eV/atom
Calculated volume ... 86.4 Å³/f.u.